# Ca3Pu3VN8

Ca3Pu3VN8 after structural relaxation (GGA-PBE, Alexandria).

a b c (Å): 6.681 6.672 6.859
angles (deg): 119.11 90.48 119.94
Sites, in units of the cell vectors:
Ca  0.000  0.000  0.000
Ca  0.000  0.500  0.000
Ca  0.500  0.500  0.000
Pu  0.500  0.000  0.500
Pu  0.500  0.500  0.500
Pu  0.000  0.500  0.500
V  0.000  0.000  0.500
N  0.264  0.518  0.273
N  0.736  0.482  0.727
N  0.784  0.566  0.307
N  0.216  0.434  0.693
N  0.784  0.025  0.307
N  0.216  0.975  0.693
N  0.247  0.028  0.310
N  0.753  0.972  0.690

Calculated values
- Raw formation energy: -0.996 eV/atom
- Total magnetic moment: 3.39 Bohr magnetons per cell